Compound: SrRuPtO6
Source: the Alexandria database
Functional: PBE
Structure: relaxed

Lattice parameters (Å, degrees): 5.319 5.319 5.302 90.00 90.00 60.00
Last column: magnetic moment on the atom in μB.
Sites, in units of the cell vectors:
Sr: 0.000 0.000 0.000  0.01
O: 0.381 0.626 0.297  0.09
O: 0.993 0.626 0.703  0.09
O: 0.626 0.381 0.703  0.09
Ru: 0.667 0.667 0.500  1.28
Pt: 0.333 0.333 0.500  0.02
O: 0.626 0.993 0.297  0.09
O: 0.381 0.993 0.703  0.09
O: 0.993 0.381 0.297  0.09

Results
space-group type = P312 (149)
raw formation energy = -1.2355 eV/atom